Density functional theory data (PBE) for Be2CoTe after structural relaxation.

The structure in POSCAR format:
```
Be2CoTe
1.0
3.7399 0.0000 0.0000
0.0000 3.7399 0.0000
0.0000 0.0000 3.6038
Be Co Te
2 1 1
Direct
0.0000 0.5000 0.0000
0.5000 0.0000 0.0000
0.0000 0.0000 0.5000
0.5000 0.5000 0.5000
```

Values from the calculation:
**Fermi-level density of states**: 1.65 states/eV/cell
**Space-group type**: P4/mmm
**Theoretical density**: 6.74 g/cm³
**Energy relative to the elements, uncorrected**: 0.41 eV per atom
**Total magnetization**: 0.000 μB/cell


Density functional theory data (PBE) for BeCo3Te after structural relaxation.

The structure in POSCAR format:
```
BeCo3Te
1.0
3.9952 0.0000 0.0000
0.0000 3.9952 0.0000
0.0000 0.0000 3.9952
Be Co Te
1 3 1
Direct
0.0000 0.0000 0.0000
0.0000 0.0000 0.5000
0.0000 0.5000 0.0000
0.5000 0.0000 0.0000
0.5000 0.5000 0.5000
```

Values from the calculation:
**Fermi-level density of states**: 3.10 states/eV/cell
**Space-group type**: Pm-3m
**Theoretical density**: 8.16 g/cm³
**Energy relative to the elements, uncorrected**: 0.39 eV per atom
**Excess energy over the best structure of this formula in the dataset**: 0 meV/atom
**Total magnetization**: 3.184 μB/cell


Density functional theory data (PBE) for BeCo2Te after structural relaxation.

The structure in POSCAR format:
```
BeCo2Te
1.0
0.0000 2.9642 2.9642
2.9642 0.0000 2.9642
2.9642 2.9642 0.0000
Be Co Te
1 2 1
Direct
0.0000 0.0000 0.0000
0.5000 0.5000 0.5000
0.7500 0.7500 0.7500
0.2500 0.2500 0.2500
```

Values from the calculation:
**Fermi-level density of states**: 6.09 states/eV/cell
**Space-group type**: F-43m
**Theoretical density**: 8.11 g/cm³
**Energy relative to the elements, uncorrected**: 0.49 eV per atom
**Excess energy over the best structure of this formula in the dataset**: 316 meV/atom
**Total magnetization**: 1.569 μB/cell


Density functional theory data (PBE) for Be2CoTe after structural relaxation.

The structure in POSCAR format:
```
Be2CoTe
1.0
-1.8266 1.8266 3.7951
1.8266 -1.8266 3.7951
1.8266 1.8266 -3.7951
Be Co Te
2 1 1
Direct
0.2500 0.7500 0.5000
0.7500 0.2500 0.5000
0.0000 0.0000 0.0000
0.5000 0.5000 0.0000
```

Values from the calculation:
**Fermi-level density of states**: 2.16 states/eV/cell
**Space-group type**: I4/mmm
**Theoretical density**: 6.71 g/cm³
**Energy relative to the elements, uncorrected**: 0.38 eV per atom
**Total magnetization**: 0.000 μB/cell


Density functional theory data (PBE) for BeCo2Te after structural relaxation.

The structure in POSCAR format:
```
BeCo2Te
1.0
3.7651 0.0000 0.0000
0.0000 3.7916 0.0000
0.0000 0.0000 3.4924
Be Co Te
1 2 1
Direct
0.0000 0.0000 0.0000
0.0000 0.5000 0.5578
0.5000 0.0000 0.4895
0.5000 0.5000 0.0247
```

Values from the calculation:
**Fermi-level density of states**: 2.87 states/eV/cell
**Space-group type**: Pmm2
**Theoretical density**: 8.48 g/cm³
**Energy relative to the elements, uncorrected**: 0.20 eV per atom
**Excess energy over the best structure of this formula in the dataset**: 27 meV/atom
**Total magnetization**: 0.000 μB/cell


Density functional theory data (PBE) for Be2CoTe after structural relaxation.

The structure in POSCAR format:
```
Be2CoTe
1.0
1.8976 1.0956 4.4240
-1.8976 1.0956 4.4240
0.0000 -2.1912 4.4240
Be Co Te
2 1 1
Direct
0.1963 0.1963 0.1963
0.8037 0.8037 0.8037
0.5000 0.5000 0.5000
0.0000 0.0000 0.0000
```

Values from the calculation:
**Fermi-level density of states**: 2.24 states/eV/cell
**Space-group type**: R-3m
**Theoretical density**: 6.16 g/cm³
**Energy relative to the elements, uncorrected**: 0.33 eV per atom
**Total magnetization**: 0.000 μB/cell


Density functional theory data (PBE) for BeCoTe after structural relaxation.

The structure in POSCAR format:
```
BeCoTe
1.0
3.1596 0.0000 0.0000
-1.5798 2.7363 0.0000
0.0000 0.0000 5.4156
Be Co Te
1 1 1
Direct
0.0000 0.0000 0.0000
0.3333 0.6667 0.2632
0.6667 0.3333 0.5914
```

Values from the calculation:
**Fermi-level density of states**: 2.56 states/eV/cell
**Space-group type**: P3m1
**Theoretical density**: 6.94 g/cm³
**Energy relative to the elements, uncorrected**: 0.50 eV per atom
**Excess energy over the best structure of this formula in the dataset**: 690 meV/atom
**Total magnetization**: 0.006 μB/cell


Density functional theory data (PBE) for BeCo2Te after structural relaxation.

The structure in POSCAR format:
```
BeCo2Te
1.0
-1.9017 1.9017 7.9543
1.9017 -1.9017 7.9543
1.9017 1.9017 -7.9543
Be Co Te
2 4 2
Direct
0.0000 0.0000 0.0000
0.7500 0.2500 0.5000
0.0651 0.6250 0.9401
0.3750 0.3151 0.4401
0.6849 0.1250 0.0599
0.8750 0.9349 0.5599
0.2500 0.7500 0.5000
0.5000 0.5000 0.0000
```

Values from the calculation:
**Fermi-level density of states**: 8.34 states/eV/cell
**Space-group type**: I-42d
**Theoretical density**: 7.34 g/cm³
**Energy relative to the elements, uncorrected**: 0.39 eV per atom
**Excess energy over the best structure of this formula in the dataset**: 209 meV/atom
**Total magnetization**: 4.033 μB/cell


Density functional theory data (PBE) for BeCo2Te after structural relaxation.

The structure in POSCAR format:
```
BeCo2Te
1.0
0.0000 2.9266 2.9266
2.9266 0.0000 2.9266
2.9266 2.9266 0.0000
Be Co Te
1 2 1
Direct
0.0000 0.0000 0.0000
0.2500 0.2500 0.2500
0.7500 0.7500 0.7500
0.5000 0.5000 0.5000
```

Values from the calculation:
**Fermi-level density of states**: 3.80 states/eV/cell
**Space-group type**: Fm-3m
**Theoretical density**: 8.43 g/cm³
**Energy relative to the elements, uncorrected**: 0.18 eV per atom
**Excess energy over the best structure of this formula in the dataset**: 5 meV/atom
**Total magnetization**: 1.630 μB/cell


Density functional theory data (PBE) for Be2CoTe after structural relaxation.

The structure in POSCAR format:
```
Be2CoTe
1.0
1.8126 1.0465 6.2900
-1.8126 1.0465 6.2900
0.0000 -2.0930 6.2900
Be Co Te
2 1 1
Direct
0.0000 0.0000 0.0000
0.3184 0.3184 0.3184
0.6178 0.6178 0.6178
0.8697 0.8697 0.8697
```

Values from the calculation:
**Fermi-level density of states**: 2.12 states/eV/cell
**Space-group type**: R3m
**Theoretical density**: 4.74 g/cm³
**Energy relative to the elements, uncorrected**: 0.12 eV per atom
**Total magnetization**: 0.000 μB/cell


Density functional theory data (PBE) for Be2CoTe after structural relaxation.

The structure in POSCAR format:
```
Be2CoTe
1.0
3.6384 0.0000 0.0000
-1.8192 3.1509 0.0000
0.0000 0.0000 5.1385
Be Co Te
2 1 1
Direct
0.0000 0.0000 0.0000
0.3333 0.6667 0.1030
0.6667 0.3333 0.2213
0.0000 0.0000 0.5027
```

Values from the calculation:
**Fermi-level density of states**: 1.44 states/eV/cell
**Space-group type**: P3m1
**Theoretical density**: 5.77 g/cm³
**Energy relative to the elements, uncorrected**: 0.06 eV per atom
**Total magnetization**: 0.000 μB/cell


Density functional theory data (PBE) for BeCo2Te after structural relaxation.

The structure in POSCAR format:
```
BeCo2Te
1.0
3.0393 0.0000 0.0000
0.0000 3.0393 0.0000
0.0000 0.0000 5.6272
Be Co Te
1 2 1
Direct
0.0000 0.0000 0.0000
0.5000 0.5000 0.2167
0.5000 0.5000 0.7833
0.0000 0.0000 0.5000
```

Values from the calculation:
**Fermi-level density of states**: 2.56 states/eV/cell
**Space-group type**: P4/mmm
**Theoretical density**: 8.13 g/cm³
**Energy relative to the elements, uncorrected**: 0.28 eV per atom
**Excess energy over the best structure of this formula in the dataset**: 100 meV/atom
**Total magnetization**: 1.612 μB/cell


What did the fourth record say?
Density functional theory data (PBE) for Be2CoTe after structural relaxation.

The structure in POSCAR format:
```
Be2CoTe
1.0
-1.8266 1.8266 3.7951
1.8266 -1.8266 3.7951
1.8266 1.8266 -3.7951
Be Co Te
2 1 1
Direct
0.2500 0.7500 0.5000
0.7500 0.2500 0.5000
0.0000 0.0000 0.0000
0.5000 0.5000 0.0000
```

Values from the calculation:
**Fermi-level density of states**: 2.16 states/eV/cell
**Space-group type**: I4/mmm
**Theoretical density**: 6.71 g/cm³
**Energy relative to the elements, uncorrected**: 0.38 eV per atom
**Total magnetization**: 0.000 μB/cell